Here is a geometry-optimized Re2Rh structure from Alexandria. Energies are from PBE-GGA.

Unit cell a=4.4703 b=4.4703 c=2.6517 alpha=90.00 beta=90.00 gamma=90.00
Fractional positions:
Re (0.5000, 0.0000, 0.5000)
Re (0.0000, 0.5000, 0.5000)
Rh (0.0000, 0.0000, 0.0000)

Total moment, μB per formula unit: 0.0
Energy above the most stable polymorph in this dataset, kJ/mol of formula units: 371.8
Space group: No. 123
Energy of formation, eV per atom: 1.150
V, Å³/cell: 53.0
Mass density, g/cm³: 14.90



Here is a geometry-optimized CaLa3Tb structure from Alexandria. Energies are from PBE-GGA.

Unit cell a=3.6800 b=10.7525 c=9.8644 alpha=105.70 beta=100.76 gamma=90.00
Fractional positions:
Ca (0.8153, 0.0620, 0.8885)
Ca (0.0152, 0.1626, 0.2868)
La (0.6142, 0.9498, 0.4848)
La (0.2163, 0.2748, 0.6905)
La (0.4140, 0.3811, 0.0854)
La (0.2136, 0.7525, 0.6844)
La (0.4165, 0.8435, 0.0899)
La (0.6169, 0.4721, 0.4910)
Tb (0.0155, 0.6620, 0.2878)
Tb (0.8151, 0.5626, 0.8875)

Total moment, μB per formula unit: 0.0
Space group: No. 2
Energy of formation, eV per atom: 0.046
V, Å³/cell: 368.6
Mass density, g/cm³: 5.55



Here is a geometry-optimized PuTi2Pd structure from Alexandria. Energies are from PBE-GGA.

Unit cell a=4.6639 b=4.6639 c=4.6639 alpha=60.00 beta=60.00 gamma=60.00
Each line ends with the local moment (μB).
Fractional positions:
Ti (0.2500, 0.2500, 0.2500)  0.73
Ti (0.7500, 0.7500, 0.7500)  0.73
Pd (0.5000, 0.5000, 0.5000)  0.15
Pu (0.0000, 0.0000, 0.0000)  5.54

Total moment, μB per formula unit: 7.5
Energy above the most stable polymorph in this dataset, kJ/mol of formula units: 61.5
Space group: No. 225
Energy of formation, eV per atom: -0.038
V, Å³/cell: 71.7
Mass density, g/cm³: 10.33



Here is a geometry-optimized Ce2Nd3Er6Th structure from Alexandria. Energies are from PBE-GGA.

Unit cell a=6.1599 b=6.1599 c=11.6661 alpha=95.06 beta=95.06 gamma=120.00
Each line ends with the local moment (μB).
Fractional positions:
Ce (0.3332, 0.6668, 0.0000)  0.52
Ce (0.6668, 0.3332, 0.0000)  0.52
Nd (0.1667, 0.8333, 0.5000)  0.00
Nd (0.8333, 0.1667, 0.5000)  0.00
Nd (0.5000, 0.5000, 0.5000)  0.00
Er (0.9184, 0.5866, 0.7561)  0.00
Er (0.7497, 0.7497, 0.2438)  0.00
Er (0.0816, 0.4134, 0.2439)  0.00
Er (0.5866, 0.9184, 0.7561)  0.00
Er (0.2503, 0.2503, 0.7562)  0.00
Er (0.4134, 0.0816, 0.2439)  0.00
Th (0.0000, 0.0000, 0.0000)  0.02

Total moment, μB per formula unit: 1.3
Space group: No. 12
Energy of formation, eV per atom: 0.038
V, Å³/cell: 377.4
Mass density, g/cm³: 8.57



Question: Look up the V of the second one.
Answer: 368.6 Å³/cell



Please write out number 1 again, unchanged.
Here is a geometry-optimized Re2Rh structure from Alexandria. Energies are from PBE-GGA.

Unit cell a=4.4703 b=4.4703 c=2.6517 alpha=90.00 beta=90.00 gamma=90.00
Fractional positions:
Re (0.5000, 0.0000, 0.5000)
Re (0.0000, 0.5000, 0.5000)
Rh (0.0000, 0.0000, 0.0000)

Total moment, μB per formula unit: 0.0
Energy above the most stable polymorph in this dataset, kJ/mol of formula units: 371.8
Space group: No. 123
Energy of formation, eV per atom: 1.150
V, Å³/cell: 53.0
Mass density, g/cm³: 14.90



What did the third record say?
Here is a geometry-optimized PuTi2Pd structure from Alexandria. Energies are from PBE-GGA.

Unit cell a=4.6639 b=4.6639 c=4.6639 alpha=60.00 beta=60.00 gamma=60.00
Each line ends with the local moment (μB).
Fractional positions:
Ti (0.2500, 0.2500, 0.2500)  0.73
Ti (0.7500, 0.7500, 0.7500)  0.73
Pd (0.5000, 0.5000, 0.5000)  0.15
Pu (0.0000, 0.0000, 0.0000)  5.54

Total moment, μB per formula unit: 7.5
Energy above the most stable polymorph in this dataset, kJ/mol of formula units: 61.5
Space group: No. 225
Energy of formation, eV per atom: -0.038
V, Å³/cell: 71.7
Mass density, g/cm³: 10.33



Question: Look up the energy of formation of the fourth one.
Answer: 0.038 eV per atom